Entry 1:
# Sc3Cu

Sc3Cu at its PBEsol-relaxed geometry (SCAN, the Alexandria database).

a = 5.823 Å, b = 5.823 Å, c = 5.823 Å
α = 146.77°, β = 131.73°, γ = 59.87°
Sites, in units of the cell vectors:
Sc 0.000 0.000 0.000
Sc 0.289 0.789 0.500
Sc 0.711 0.211 0.500
Cu 0.500 0.500 0.000

Calculated values
Crystal system: orthorhombic
Space-group type: Immm
Formation enthalpy at 0 K: -0.1282 eV/atom

---

Entry 2:
# Mn2NbGeCl

Mn2NbGeCl at its PBEsol-relaxed geometry (SCAN, the Alexandria database).

a = 4.773 Å, b = 4.773 Å, c = 4.606 Å
α = 90.00°, β = 90.00°, γ = 90.00°
Sites, in units of the cell vectors:
Mn 0.000 0.500 0.000
Mn 0.500 0.000 0.000
Nb 0.000 0.000 0.000
Ge 0.500 0.500 0.500
Cl 0.000 0.000 0.500

Calculated values
Calculated total energy: -92.4 eV for the cell shown
Crystal system: tetragonal
Space-group type: P4/mmm